Computed, not measured: crystalline Li2Y2S at its relaxed geometry at the GGA-PBE level of DFT.

a = 7.3755 Å, b = 7.3755 Å, c = 7.3755 Å
α = 145.79°, β = 145.79°, γ = 49.16°
Fractional coordinates of all 5 atoms:
1 Li 0.0820 0.0820 0.0000
2 Li 0.9180 0.9180 0.0000
3 Y 0.2500 0.7500 0.5000
4 Y 0.7500 0.2500 0.5000
5 S 0.5000 0.5000 0.0000

Output
The total magnetic moment is 0.000 μB per atom. The energy above the most stable polymorph in this dataset comes out at 585 meV/atom.